# PBE BaSc2USe8, optimized geometry
# Magnetization = 0.00 μB per formula unit
# VASP energy = -5.673 eV per atom
data_BaSc2USe8
_space_group_name_H-M_alt 'P 1'
_space_group_IT_number 1
_space_group_name_Hall 'P 1'
_cell_length_a 6.7156
_cell_length_b 6.0731
_cell_length_c 8.9439
_cell_angle_alpha 89.94
_cell_angle_beta 89.96
_cell_angle_gamma 89.35
loop_
_atom_site_label
_atom_site_fract_x
_atom_site_fract_y
_atom_site_fract_z
Sc1 0.4999 0.5001 0.2101
Sc2 0.5001 0.4999 0.7899
Se1 0.1562 0.7378 0.2082
Se2 0.8438 0.2622 0.7918
Se3 0.3446 0.2499 0.0002
Se4 0.1569 0.7385 0.7920
Se5 0.4543 0.3072 0.5002
Se6 0.5457 0.6928 0.4998
Se7 0.8431 0.2615 0.2080
Se8 0.6554 0.7501 0.9998
U1 0.0000 0.0000 0.0000
Ba1 0.0000 0.0000 0.5000

---

# PBE BaSc2WSe, optimized geometry
# Magnetization = 0.00 μB per formula unit
# Density of states at the Fermi level = 1.251 states/eV/atom
# VASP energy = -4.246 eV per atom
data_BaSc2WSe
_space_group_name_H-M_alt 'P 1'
_space_group_IT_number 1
_space_group_name_Hall 'P 1'
_cell_length_a 5.3185
_cell_length_b 5.0013
_cell_length_c 5.3185
_cell_angle_alpha 90.00
_cell_angle_beta 90.00
_cell_angle_gamma 90.00
loop_
_atom_site_label
_atom_site_fract_x
_atom_site_fract_y
_atom_site_fract_z
Ba1 0.0000 0.0000 0.0000
Se1 0.5000 0.5000 0.5000
Sc1 0.5000 0.0000 0.0000
Sc2 0.0000 0.0000 0.5000
W1 0.0000 0.5000 0.0000

---

# PBE Ba2ScZnSe5, optimized geometry
# Magnetization = 0.00 μB per formula unit
# Density of states at the Fermi level = 0.626 states/eV/atom
# VASP energy = -4.693 eV per atom
data_Ba2ScZnSe5
_space_group_name_H-M_alt 'P 1'
_space_group_IT_number 1
_space_group_name_Hall 'P 1'
_cell_length_a 4.1960
_cell_length_b 9.6822
_cell_length_c 13.0639
_cell_angle_alpha 90.00
_cell_angle_beta 90.00
_cell_angle_gamma 102.51
loop_
_atom_site_label
_atom_site_fract_x
_atom_site_fract_y
_atom_site_fract_z
Zn1 0.4355 0.8711 0.4386
Zn2 0.5645 0.1289 0.9386
Sc1 0.7939 0.5877 0.5171
Sc2 0.2061 0.4123 0.0171
Se1 0.9412 0.8824 0.5417
Se2 0.3054 0.6108 0.3755
Se3 0.0588 0.1176 0.0417
Se4 0.3458 0.6916 0.0087
Se5 0.6946 0.3892 0.8755
Se6 0.6542 0.3084 0.5087
Se7 0.7041 0.4082 0.1535
Se8 0.2959 0.5918 0.6535
Se9 0.4991 0.9983 0.2779
Se10 0.5009 0.0017 0.7779
Ba1 0.1204 0.2408 0.6933
Ba2 0.1277 0.2553 0.3178
Ba3 0.8796 0.7592 0.1933
Ba4 0.8723 0.7447 0.8178

---

# PBE Ba2ZrScSe6, optimized geometry
# Magnetization = 0.00 μB per formula unit
# Density of states at the Fermi level = 0.517 states/eV/atom
# VASP energy = -5.541 eV per atom
data_Ba2ZrScSe6
_space_group_name_H-M_alt 'P 1'
_space_group_IT_number 1
_space_group_name_Hall 'P 1'
_cell_length_a 7.4554
_cell_length_b 7.4549
_cell_length_c 10.5407
_cell_angle_alpha 90.00
_cell_angle_beta 90.00
_cell_angle_gamma 90.00
loop_
_atom_site_label
_atom_site_fract_x
_atom_site_fract_y
_atom_site_fract_z
Se1 0.5000 0.2498 0.7493
Se2 0.2495 0.5016 0.0000
Se3 0.2505 0.4984 0.5000
Se4 0.0000 0.7502 0.2493
Se5 0.2490 0.0003 0.0000
Se6 0.7490 0.9997 0.5000
Se7 0.7505 0.5016 0.0000
Se8 0.2510 0.9997 0.5000
Se9 0.0000 0.7502 0.7507
Se10 0.7510 0.0003 0.0000
Se11 0.5000 0.2498 0.2507
Se12 0.7495 0.4984 0.5000
Ba1 0.5000 0.7497 0.7497
Ba2 0.0000 0.2503 0.7503
Ba3 0.5000 0.7497 0.2503
Ba4 0.0000 0.2503 0.2497
Zr1 0.0000 0.7493 0.5000
Zr2 0.5000 0.2507 0.0000
Sc1 0.5000 0.2491 0.5000
Sc2 0.0000 0.7509 0.0000

---

# PBE BaScSi4, optimized geometry
# Magnetization = 0.00 μB per formula unit
# Density of states at the Fermi level = 0.656 states/eV/atom
# VASP energy = -5.007 eV per atom
data_BaScSi4
_space_group_name_H-M_alt 'P 1'
_space_group_IT_number 1
_space_group_name_Hall 'P 1'
_cell_length_a 5.5558
_cell_length_b 5.5558
_cell_length_c 5.5558
_cell_angle_alpha 60.00
_cell_angle_beta 60.00
_cell_angle_gamma 60.00
loop_
_atom_site_label
_atom_site_fract_x
_atom_site_fract_y
_atom_site_fract_z
Si1 0.3638 0.3638 0.3638
Si2 0.3638 0.3638 0.9085
Si3 0.9085 0.3638 0.3638
Si4 0.3638 0.9085 0.3638
Ba1 0.7500 0.7500 0.7500
Sc1 0.0000 0.0000 0.0000

---

# PBE BaScSi, optimized geometry
# Magnetization = 0.33 μB per formula unit
# Density of states at the Fermi level = 1.245 states/eV/atom
# VASP energy = -3.775 eV per atom
data_BaScSi
_space_group_name_H-M_alt 'P 1'
_space_group_IT_number 1
_space_group_name_Hall 'P 1'
_cell_length_a 5.1287
_cell_length_b 5.1287
_cell_length_c 5.1287
_cell_angle_alpha 60.00
_cell_angle_beta 60.00
_cell_angle_gamma 60.00
loop_
_atom_site_label
_atom_site_fract_x
_atom_site_fract_y
_atom_site_fract_z
Sc1 0.0000 0.0000 0.0000
Si1 0.5000 0.5000 0.5000
Ba1 0.7500 0.7500 0.7500

---

# PBE Ba2ScSi, optimized geometry
# Magnetization = 0.00 μB per formula unit
# Density of states at the Fermi level = 1.110 states/eV/atom
# VASP energy = -3.641 eV per atom
data_Ba2ScSi
_space_group_name_H-M_alt 'P 1'
_space_group_IT_number 1
_space_group_name_Hall 'P 1'
_cell_length_a 6.1003
_cell_length_b 6.1003
_cell_length_c 3.8187
_cell_angle_alpha 90.00
_cell_angle_beta 90.00
_cell_angle_gamma 113.27
loop_
_atom_site_label
_atom_site_fract_x
_atom_site_fract_y
_atom_site_fract_z
Si1 0.0000 0.5000 0.5000
Ba1 0.5000 0.5000 0.0000
Ba2 0.0000 0.0000 0.0000
Sc1 0.5000 0.0000 0.5000

---

# PBE Ba2ScSi, optimized geometry
# Magnetization = 0.02 μB per formula unit
# Density of states at the Fermi level = 1.129 states/eV/atom
# VASP energy = -3.727 eV per atom
data_Ba2ScSi
_space_group_name_H-M_alt 'P 1'
_space_group_IT_number 1
_space_group_name_Hall 'P 1'
_cell_length_a 4.8957
_cell_length_b 4.8957
_cell_length_c 5.2399
_cell_angle_alpha 90.00
_cell_angle_beta 90.00
_cell_angle_gamma 90.00
loop_
_atom_site_label
_atom_site_fract_x
_atom_site_fract_y
_atom_site_fract_z
Ba1 0.5000 0.5000 0.0000
Ba2 0.0000 0.0000 0.0000
Sc1 0.5000 0.0000 0.5000
Si1 0.0000 0.5000 0.5000

---

The highest magnetization belongs to which entry? BaScSi

---

magnetization of number 1 (BaSc2USe8)? 0.00 μB per formula unit

---

Which of these has the highest VASP energy? number 7